1.
This record from Alexandria describes crystalline Li4Hf3CuS8 at its relaxed geometry. The functional is GGA-PBE.

Symmetry: R-3m
Density in g/cm3: 5.25
Energy relative to the elements, uncorrected in kcal/mol of atoms: -31.06
M_tot in μB/atom: 0.000

Unit cell a=7.2659 b=7.4109 c=7.2671 alpha=119.36 beta=119.99 gamma=90.00
Element x y z (fractional)
Li: 0.5000 0.0000 0.0000
Li: 0.5000 0.0000 0.5000
Li: 0.0000 0.0000 0.0000
Li: 0.0000 0.0000 0.5000
Hf: 0.5000 0.5000 0.0000
Hf: 0.5000 0.5000 0.5000
Hf: 0.0000 0.5000 0.5000
Cu: 0.0000 0.5000 0.0000
S: 0.2481 0.7399 0.9918
S: 0.2483 0.7400 0.4965
S: 0.2513 0.2538 0.5026
S: 0.7437 0.7399 0.9918
S: 0.2563 0.2601 0.0082
S: 0.7487 0.7462 0.4974
S: 0.7517 0.2600 0.5035
S: 0.7519 0.2601 0.0082

2.
This record from Alexandria describes crystalline LiHfCuS2 at its relaxed geometry. The functional is GGA-PBE.

Symmetry: P4/mmm
Density in g/cm3: 6.32
Energy relative to the elements, uncorrected in kcal/mol of atoms: 10.18
M_tot in μB/atom: 0.000

Unit cell a=4.2680 b=4.5133 c=4.2680 alpha=90.00 beta=90.00 gamma=90.00
Element x y z (fractional)
S: 0.0000 0.0000 0.5000
S: 0.5000 0.0000 0.0000
Hf: 0.0000 0.5000 0.0000
Cu: 0.5000 0.5000 0.5000
Li: 0.0000 0.0000 0.0000

3.
This record from Alexandria describes crystalline Li3Hf2CuS6 at its relaxed geometry. The functional is GGA-PBE.

Symmetry: C2/m
Density in g/cm3: 4.99
Energy relative to the elements, uncorrected in kcal/mol of atoms: -30.21
M_tot in μB/atom: 0.000

Unit cell a=6.3215 b=6.3215 c=6.4472 alpha=99.58 beta=99.58 gamma=119.81
Element x y z (fractional)
Li: 0.1657 0.8343 0.5000
Li: 0.8343 0.1657 0.5000
Li: 0.5000 0.5000 0.5000
Hf: 0.3330 0.6670 0.0000
Hf: 0.6670 0.3330 0.0000
Cu: 0.0000 0.0000 0.0000
S: 0.9193 0.5790 0.7605
S: 0.7377 0.7377 0.2436
S: 0.0807 0.4210 0.2395
S: 0.5790 0.9193 0.7605
S: 0.2623 0.2623 0.7564
S: 0.4210 0.0807 0.2395

4.
This record from Alexandria describes crystalline Li2HfCuS4 at its relaxed geometry. The functional is GGA-PBE.

Symmetry: Cmcm
Density in g/cm3: 4.68
Energy relative to the elements, uncorrected in kcal/mol of atoms: -22.41
M_tot in μB/atom: 0.000

Unit cell a=3.4891 b=6.4533 c=12.5660 alpha=90.00 beta=90.00 gamma=105.68
Element x y z (fractional)
Li: 0.3801 0.7602 0.5596
Li: 0.6199 0.2398 0.0596
Li: 0.6199 0.2398 0.4404
Li: 0.3801 0.7602 0.9404
Hf: 0.1011 0.2023 0.7500
Hf: 0.8989 0.7977 0.2500
Cu: 0.8254 0.6508 0.7500
Cu: 0.1746 0.3492 0.2500
S: 0.3081 0.6162 0.1263
S: 0.6919 0.3838 0.6263
S: 0.6919 0.3838 0.8737
S: 0.3081 0.6162 0.3737
S: 0.0000 0.0000 0.5000
S: 0.0000 0.0000 0.0000
S: 0.4458 0.8915 0.7500
S: 0.5542 0.1085 0.2500

5.
This record from Alexandria describes crystalline LiHfCuS3 at its relaxed geometry. The functional is GGA-PBE.

Symmetry: P2_1/m
Density in g/cm3: 5.46
Energy relative to the elements, uncorrected in kcal/mol of atoms: -25.97
M_tot in μB/atom: 0.000

Unit cell a=3.4840 b=7.7473 c=7.9951 alpha=103.26 beta=90.00 gamma=90.00
Element x y z (fractional)
Li: 0.2500 0.6265 0.1715
Li: 0.7500 0.3735 0.8285
Hf: 0.2500 0.1836 0.2287
Hf: 0.7500 0.8164 0.7713
Cu: 0.2500 0.0964 0.5914
Cu: 0.7500 0.9036 0.4086
S: 0.7500 0.9310 0.1331
S: 0.2500 0.0690 0.8669
S: 0.2500 0.7548 0.5103
S: 0.7500 0.2452 0.4897
S: 0.7500 0.3879 0.1428
S: 0.2500 0.6121 0.8572

6.
This record from Alexandria describes crystalline Li3Hf3CuS8 at its relaxed geometry. The functional is GGA-PBE.

Symmetry: C2/m
Density in g/cm3: 5.20
Energy relative to the elements, uncorrected in kcal/mol of atoms: -30.06
M_tot in μB/atom: 0.000

Unit cell a=7.2707 b=7.2653 c=7.4216 alpha=119.31 beta=90.00 gamma=120.02
Element x y z (fractional)
Li: 0.0000 0.0000 0.0000
Li: 0.0000 0.5000 0.0000
Li: 0.5000 0.5000 0.0000
Hf: 0.5000 0.0000 0.5000
Hf: 0.5000 0.5000 0.5000
Hf: 0.0000 0.5000 0.5000
Cu: 0.0000 0.0000 0.5000
S: 0.2510 0.5020 0.2532
S: 0.7490 0.4980 0.7468
S: 0.7548 0.5096 0.2667
S: 0.2452 0.4904 0.7333
S: 0.7539 0.0118 0.2660
S: 0.2461 0.9882 0.7340
S: 0.2579 0.0118 0.2660
S: 0.7421 0.9882 0.7340

7.
This record from Alexandria describes crystalline Li2Hf2CuS6 at its relaxed geometry. The functional is GGA-PBE.

Symmetry: C2/m
Density in g/cm3: 4.92
Energy relative to the elements, uncorrected in kcal/mol of atoms: -28.05
M_tot in μB/atom: 0.078

Unit cell a=6.3405 b=6.3405 c=6.4677 alpha=98.39 beta=98.39 gamma=121.51
Element x y z (fractional)
Li: 0.8339 0.1661 0.0000
Li: 0.1661 0.8339 0.0000
Hf: 0.3324 0.6676 0.5000
Hf: 0.6676 0.3324 0.5000
Cu: 0.0000 0.0000 0.5000
S: 0.7587 0.7587 0.7208
S: 0.0753 0.4206 0.7408
S: 0.2413 0.2413 0.2792
S: 0.4206 0.0753 0.7408
S: 0.9247 0.5794 0.2592
S: 0.5794 0.9247 0.2592

8.
This record from Alexandria describes crystalline LiHfCuSe3 at its relaxed geometry. The functional is GGA-PBE.

Symmetry: P2_1/m
Density in g/cm3: 6.44
Energy relative to the elements, uncorrected in kcal/mol of atoms: -23.80
M_tot in μB/atom: 0.000

Unit cell a=3.7749 b=7.5034 c=9.1436 alpha=104.56 beta=90.00 gamma=90.00
Element x y z (fractional)
Li: 0.7500 0.7775 0.7085
Li: 0.2500 0.2225 0.2915
Hf: 0.2500 0.6844 0.1767
Hf: 0.7500 0.3156 0.8233
Cu: 0.2500 0.0854 0.5910
Cu: 0.7500 0.9146 0.4090
Se: 0.2500 0.7328 0.4721
Se: 0.7500 0.9238 0.1473
Se: 0.7500 0.4176 0.1426
Se: 0.7500 0.2672 0.5279
Se: 0.2500 0.5824 0.8574
Se: 0.2500 0.0762 0.8527

9.
This record from Alexandria describes crystalline Li4Hf3CuSe8 at its relaxed geometry. The functional is GGA-PBE.

Symmetry: R-3m
Density in g/cm3: 6.47
Energy relative to the elements, uncorrected in kcal/mol of atoms: -26.55
M_tot in μB/atom: 0.000

Unit cell a=7.6092 b=7.7944 c=7.6106 alpha=119.23 beta=119.99 gamma=90.00
Element x y z (fractional)
Li: 0.5000 0.0000 0.0000
Li: 0.5000 0.0000 0.5000
Li: 0.0000 0.0000 0.0000
Li: 0.0000 0.0000 0.5000
Hf: 0.5000 0.5000 0.0000
Hf: 0.5000 0.5000 0.5000
Hf: 0.0000 0.5000 0.5000
Cu: 0.0000 0.5000 0.0000
Se: 0.2469 0.7401 0.9931
Se: 0.2472 0.7403 0.4943
Se: 0.2507 0.2520 0.5014
Se: 0.7463 0.7401 0.9931
Se: 0.2537 0.2599 0.0069
Se: 0.7493 0.7480 0.4986
Se: 0.7528 0.2597 0.5057
Se: 0.7531 0.2599 0.0069

10.
This record from Alexandria describes crystalline Li2HfCu2Se4 at its relaxed geometry. The functional is GGA-PBE.

Symmetry: C2/m
Density in g/cm3: 6.00
Energy relative to the elements, uncorrected in kcal/mol of atoms: -20.77
M_tot in μB/atom: 0.000

Unit cell a=3.8217 b=7.3829 c=7.4160 alpha=118.50 beta=104.93 gamma=90.00
Element x y z (fractional)
Li: 0.1526 0.5275 0.3051
Li: 0.8474 0.4725 0.6949
Hf: 0.0000 0.0000 0.0000
Cu: 0.6812 0.9827 0.3624
Cu: 0.3188 0.0173 0.6376
Se: 0.2194 0.2245 0.4389
Se: 0.7806 0.7755 0.5611
Se: 0.4920 0.7342 0.9840
Se: 0.5080 0.2658 0.0160

11.
This record from Alexandria describes crystalline Li2Hf2CuSe6 at its relaxed geometry. The functional is GGA-PBE.

Symmetry: C2/m
Density in g/cm3: 6.21
Energy relative to the elements, uncorrected in kcal/mol of atoms: -24.03
M_tot in μB/atom: 0.000

Unit cell a=6.6263 b=6.6263 c=6.8112 alpha=98.53 beta=98.53 gamma=121.61
Element x y z (fractional)
Li: 0.8328 0.1672 0.0000
Li: 0.1672 0.8328 0.0000
Hf: 0.3324 0.6676 0.5000
Hf: 0.6676 0.3324 0.5000
Cu: 0.0000 0.0000 0.5000
Se: 0.7597 0.7597 0.7254
Se: 0.0786 0.4196 0.7428
Se: 0.2403 0.2403 0.2746
Se: 0.4196 0.0786 0.7428
Se: 0.9214 0.5804 0.2572
Se: 0.5804 0.9214 0.2572

12.
This record from Alexandria describes crystalline Li2HfCu2Te4 at its relaxed geometry. The functional is GGA-PBE.

Symmetry: C2/m
Density in g/cm3: 6.11
Energy relative to the elements, uncorrected in kcal/mol of atoms: -14.06
M_tot in μB/atom: 0.000

Unit cell a=4.0348 b=8.3580 c=7.7811 alpha=116.14 beta=105.03 gamma=90.00
Element x y z (fractional)
Li: 0.1315 0.7309 0.2630
Li: 0.8685 0.2691 0.7370
Hf: 0.0000 0.0000 0.0000
Cu: 0.6832 0.9892 0.3665
Cu: 0.3168 0.0108 0.6335
Te: 0.2181 0.2153 0.4361
Te: 0.7819 0.7847 0.5639
Te: 0.4948 0.7433 0.9895
Te: 0.5052 0.2567 0.0105